(1)
VASP calculation (SCAN) on Y2CuSi at its PBEsol-relaxed geometry.

Output
total moment: 0.0 μB/f.u.
density: 5.23 g cm⁻³
calculated volume: 171 Å³ per cell
formation energy without anion corrections: -0.62 eV/atom

The structure in CIF format:
```
data_Y2CuSi
_symmetry_space_group_name_H-M 'A m m 2'
_symmetry_Int_Tables_number 38
_symmetry_space_group_name_Hall 'A 2 -2'
_cell_length_a 4.032
_cell_length_b 4.013
_cell_length_c 10.566
_cell_angle_alpha 90.00
_cell_angle_beta 90.00
_cell_angle_gamma 90.00
loop_
_atom_site_label
_atom_site_fract_x
_atom_site_fract_y
_atom_site_fract_z
_atom_site_occupancy
Y1 0.000 0.000 0.000 1
Y2 0.500 0.000 0.281 1
Cu1 0.500 0.000 0.575 1
Si1 0.000 0.000 0.712 1
```

(2)
VASP calculation (SCAN) on YCuSi at its PBEsol-relaxed geometry.

Output
total moment: 0.0 μB/f.u.
density: 5.56 g cm⁻³
calculated volume: 108 Å³ per cell
formation energy without anion corrections: -0.74 eV/atom

The structure in CIF format:
```
data_YCuSi
_symmetry_space_group_name_H-M 'P 63/m m c'
_symmetry_Int_Tables_number 194
_symmetry_space_group_name_Hall '-P 6c 2c'
_cell_length_a 4.0959
_cell_length_b 4.0959
_cell_length_c 7.4184
_cell_angle_alpha 90.00
_cell_angle_beta 90.00
_cell_angle_gamma 120.00
loop_
_atom_site_label
_atom_site_fract_x
_atom_site_fract_y
_atom_site_fract_z
_atom_site_occupancy
Y1 0.0000 0.0000 0.0000 1
Cu1 0.3333 0.6667 0.2500 1
Si1 0.3333 0.6667 0.7500 1
```

(3)
VASP calculation (SCAN) on Y4CuSi at its PBEsol-relaxed geometry.

Output
total moment: 0.0 μB/f.u.
density: 4.93 g cm⁻³
calculated volume: 602 Å³ per cell
formation energy without anion corrections: 0.72 eV/atom

The structure in CIF format:
```
data_Y4CuSi
_symmetry_space_group_name_H-M 'F -4 3 m'
_symmetry_Int_Tables_number 216
_symmetry_space_group_name_Hall 'F -4 2 3'
_cell_length_a 8.445
_cell_length_b 8.445
_cell_length_c 8.445
_cell_angle_alpha 90.00
_cell_angle_beta 90.00
_cell_angle_gamma 90.00
loop_
_atom_site_label
_atom_site_fract_x
_atom_site_fract_y
_atom_site_fract_z
_atom_site_occupancy
Y1 0.124 0.124 0.124 1
Cu1 0.000 0.000 0.500 1
Si1 0.250 0.250 0.750 1
```